Record 1
This record from Alexandria describes crystalline Na2S5 at its relaxed geometry. The functional is PBE.

Calculated values
Its uncorrected formation energy is -0.496 eV/atom. The calculation puts the calculated density at 2.0 g/cm³. The calculation puts the raw total energy at -3.821 eV per atom.

POSCAR file:
```
Na2S5
1.0
7.824 0.000 0.000
0.000 14.742 0.000
0.000 0.000 5.886
Na S
8 20
direct
0.000 0.000 0.000
0.000 0.500 0.000
0.055 0.250 0.202
0.445 0.750 0.702
0.500 0.000 0.500
0.500 0.500 0.500
0.555 0.250 0.298
0.945 0.750 0.798
0.046 0.635 0.393
0.046 0.865 0.393
0.144 0.750 0.232
0.204 0.603 0.663
0.204 0.897 0.663
0.296 0.103 0.163
0.296 0.397 0.163
0.356 0.250 0.732
0.454 0.135 0.893
0.454 0.365 0.893
0.546 0.635 0.107
0.546 0.865 0.107
0.644 0.750 0.268
0.704 0.603 0.837
0.704 0.897 0.837
0.796 0.103 0.337
0.796 0.397 0.337
0.856 0.250 0.768
0.954 0.135 0.607
0.954 0.365 0.607
```



Record 2
This record from Alexandria describes crystalline Ir4PbSe at its relaxed geometry. The functional is PBE.

Calculated values
Its uncorrected formation energy is 0.736 eV/atom. The calculation puts the calculated density at 16.1 g/cm³. The calculation puts the raw total energy at -6.370 eV per atom.

POSCAR file:
```
Ir4PbSe
1.0
0.000 3.792 3.792
3.792 0.000 3.792
3.792 3.792 0.000
Ir Pb Se
4 1 1
direct
0.125 0.125 0.125
0.125 0.125 0.624
0.125 0.624 0.125
0.624 0.125 0.125
0.750 0.750 0.750
0.500 0.500 0.500
```